A plane-wave DFT calculation with PBE was carried out for a geometry-optimized LuAlFe structure.

```
data_LuAlFe
_chemical_formula_sum 'Lu4 Al4 Fe4'
_space_group_name_H-M_alt 'P 1'
_space_group_IT_number 1
_cell_length_a 7.0196
_cell_length_b 4.3713
_cell_length_c 6.8290
_cell_angle_alpha 90.00
_cell_angle_beta 90.00
_cell_angle_gamma 90.00
loop_
_space_group_symop_operation_xyz
'x,y,z'
loop_
_atom_site_label
_atom_site_type_symbol
_atom_site_fract_x
_atom_site_fract_y
_atom_site_fract_z
Al1 Al 0.8080 0.7500 0.1032
Al2 Al 0.3080 0.7500 0.3968
Al3 Al 0.6920 0.2500 0.6032
Al4 Al 0.1920 0.2500 0.8968
Fe1 Fe 0.1590 0.7500 0.0656
Fe2 Fe 0.6590 0.7500 0.4344
Fe3 Fe 0.3410 0.2500 0.5656
Fe4 Fe 0.8410 0.2500 0.9344
Lu1 Lu 0.5182 0.2500 0.1952
Lu2 Lu 0.0182 0.2500 0.3048
Lu3 Lu 0.9818 0.7500 0.6952
Lu4 Lu 0.4818 0.7500 0.8048
```

Results
Calculated total energy ... -5.7821 eV per atom
Space-group type ... Pnma, No. 62
Magnetic moment ... 3.7 μB per cell

***

A plane-wave DFT calculation with PBE was carried out for a geometry-optimized Nd3BiP2 structure.

```
data_Nd3BiP2
_chemical_formula_sum 'Nd3 Bi1 P2'
_space_group_name_H-M_alt 'P 1'
_space_group_IT_number 1
_cell_length_a 4.2415
_cell_length_b 4.2415
_cell_length_c 10.8752
_cell_angle_alpha 90.00
_cell_angle_beta 90.00
_cell_angle_gamma 120.00
loop_
_space_group_symop_operation_xyz
'x,y,z'
loop_
_atom_site_label
_atom_site_type_symbol
_atom_site_fract_x
_atom_site_fract_y
_atom_site_fract_z
Bi1 Bi 0.0000 0.0000 0.5000
Nd1 Nd 0.0000 0.0000 0.0000
Nd2 Nd 0.3333 0.6667 0.3029
Nd3 Nd 0.6667 0.3333 0.6971
P1 P 0.6667 0.3333 0.1562
P2 P 0.3333 0.6667 0.8438
```

Results
Calculated total energy ... -6.1847 eV per atom
Space-group type ... P-3m1, No. 164
Magnetic moment ... 0.0 μB per cell

***

A plane-wave DFT calculation with PBE was carried out for a geometry-optimized SrLiNiAs structure.

```
data_SrLiNiAs
_chemical_formula_sum 'Sr1 Li1 Ni1 As1'
_space_group_name_H-M_alt 'P 1'
_space_group_IT_number 1
_cell_length_a 4.8609
_cell_length_b 4.8609
_cell_length_c 4.8609
_cell_angle_alpha 60.00
_cell_angle_beta 60.00
_cell_angle_gamma 60.00
loop_
_space_group_symop_operation_xyz
'x,y,z'
loop_
_atom_site_label
_atom_site_type_symbol
_atom_site_fract_x
_atom_site_fract_y
_atom_site_fract_z
As1 As 0.0000 0.0000 0.0000
Li1 Li 0.7500 0.7500 0.7500
Ni1 Ni 0.5000 0.5000 0.5000
Sr1 Sr 0.2500 0.2500 0.2500
```

Results
Offset from the most stable computed form ... 0.1943 eV/atom
Calculated total energy ... -3.5960 eV per atom
Space-group type ... F-43m, No. 216
Magnetic moment ... 0.5 μB per cell

***

A plane-wave DFT calculation with PBE was carried out for a geometry-optimized UTeW structure.

```
data_UTeW
_chemical_formula_sum 'U1 Te1 W1'
_space_group_name_H-M_alt 'P 1'
_space_group_IT_number 1
_cell_length_a 4.7793
_cell_length_b 4.7793
_cell_length_c 4.7793
_cell_angle_alpha 60.00
_cell_angle_beta 60.00
_cell_angle_gamma 60.00
loop_
_space_group_symop_operation_xyz
'x,y,z'
loop_
_atom_site_label
_atom_site_type_symbol
_atom_site_fract_x
_atom_site_fract_y
_atom_site_fract_z
Te1 Te 0.2500 0.2500 0.2500
U1 U 0.0000 0.0000 0.0000
W1 W 0.7500 0.7500 0.7500
```

Results
Offset from the most stable computed form ... 0.5497 eV/atom
Calculated total energy ... -7.9572 eV per atom
Space-group type ... F-43m, No. 216
Magnetic moment ... 0.1 μB per cell

***

A plane-wave DFT calculation with PBE was carried out for a geometry-optimized LiHg3WS4 structure.

```
data_LiHg3WS4
_chemical_formula_sum 'Li1 Hg3 W1 S4'
_space_group_name_H-M_alt 'P 1'
_space_group_IT_number 1
_cell_length_a 6.0700
_cell_length_b 6.0700
_cell_length_c 6.0700
_cell_angle_alpha 90.00
_cell_angle_beta 90.00
_cell_angle_gamma 90.00
loop_
_space_group_symop_operation_xyz
'x,y,z'
loop_
_atom_site_label
_atom_site_type_symbol
_atom_site_fract_x
_atom_site_fract_y
_atom_site_fract_z
Hg1 Hg 0.5000 0.5000 0.0000
Hg2 Hg 0.5000 0.0000 0.5000
Hg3 Hg 0.0000 0.5000 0.5000
Li1 Li 0.0000 0.0000 0.0000
S1 S 0.2484 0.2484 0.2484
S2 S 0.7516 0.7516 0.2484
S3 S 0.7516 0.2484 0.7516
S4 S 0.2484 0.7516 0.7516
W1 W 0.5000 0.5000 0.5000
```

Results
Calculated total energy ... -3.3398 eV per atom
Space-group type ... P-43m, No. 215
Magnetic moment ... 4.6 μB per cell

***

A plane-wave DFT calculation with PBE was carried out for a geometry-optimized Nb5Si2Ge structure.

```
data_Nb5Si2Ge
_chemical_formula_sum 'Nb10 Si4 Ge2'
_space_group_name_H-M_alt 'P 1'
_space_group_IT_number 1
_cell_length_a 7.6101
_cell_length_b 7.6101
_cell_length_c 7.6101
_cell_angle_alpha 128.30
_cell_angle_beta 128.30
_cell_angle_gamma 76.13
loop_
_space_group_symop_operation_xyz
'x,y,z'
loop_
_atom_site_label
_atom_site_type_symbol
_atom_site_fract_x
_atom_site_fract_y
_atom_site_fract_z
Ge1 Ge 0.2500 0.2500 0.0000
Ge2 Ge 0.7500 0.7500 0.0000
Nb1 Nb 0.0000 0.0000 0.0000
Nb2 Nb 0.5000 0.5000 0.0000
Nb3 Nb 0.1873 0.6873 0.1705
Nb4 Nb 0.4833 0.9833 0.1705
Nb5 Nb 0.0167 0.1873 0.5000
Nb6 Nb 0.3127 0.4833 0.5000
Nb7 Nb 0.6873 0.5167 0.5000
Nb8 Nb 0.9833 0.8127 0.5000
Nb9 Nb 0.5167 0.0167 0.8295
Nb10 Nb 0.8127 0.3127 0.8295
Si1 Si 0.8703 0.3703 0.2405
Si2 Si 0.3703 0.1297 0.5000
Si3 Si 0.6297 0.8703 0.5000
Si4 Si 0.1297 0.6297 0.7595
```

Results
Calculated total energy ... -8.8809 eV per atom
Space-group type ... I4/mcm, No. 140
Magnetic moment ... 0.0 μB per cell

***

A plane-wave DFT calculation with PBE was carried out for a geometry-optimized SmTlFeTe3 structure.

```
data_SmTlFeTe3
_chemical_formula_sum 'Sm2 Tl2 Fe2 Te6'
_space_group_name_H-M_alt 'P 1'
_space_group_IT_number 1
_cell_length_a 8.1422
_cell_length_b 8.1422
_cell_length_c 11.5650
_cell_angle_alpha 90.00
_cell_angle_beta 90.00
_cell_angle_gamma 31.13
loop_
_space_group_symop_operation_xyz
'x,y,z'
loop_
_atom_site_label
_atom_site_type_symbol
_atom_site_fract_x
_atom_site_fract_y
_atom_site_fract_z
Fe1 Fe 0.4704 0.4704 0.2500
Fe2 Fe 0.5296 0.5296 0.7500
Sm1 Sm 0.0000 0.0000 0.0000
Sm2 Sm 0.0000 0.0000 0.5000
Te1 Te 0.3673 0.3673 0.0714
Te2 Te 0.0729 0.0729 0.2500
Te3 Te 0.3673 0.3673 0.4286
Te4 Te 0.6327 0.6327 0.5714
Te5 Te 0.9271 0.9271 0.7500
Te6 Te 0.6327 0.6327 0.9286
Tl1 Tl 0.7556 0.7556 0.2500
Tl2 Tl 0.2444 0.2444 0.7500
```

Results
Offset from the most stable computed form ... 0.0106 eV/atom
Calculated total energy ... -4.7664 eV per atom
Space-group type ... Cmcm, No. 63
Magnetic moment ... 8.0 μB per cell

***

A plane-wave DFT calculation with PBE was carried out for a geometry-optimized PrZnB structure.

```
data_PrZnB
_chemical_formula_sum 'Pr1 Zn1 B1'
_space_group_name_H-M_alt 'P 1'
_space_group_IT_number 1
_cell_length_a 4.3857
_cell_length_b 4.3857
_cell_length_c 4.3857
_cell_angle_alpha 60.00
_cell_angle_beta 60.00
_cell_angle_gamma 60.00
loop_
_space_group_symop_operation_xyz
'x,y,z'
loop_
_atom_site_label
_atom_site_type_symbol
_atom_site_fract_x
_atom_site_fract_y
_atom_site_fract_z
B1 B 0.2500 0.2500 0.2500
Pr1 Pr 0.7500 0.7500 0.7500
Zn1 Zn 0.0000 0.0000 0.0000
```

Results
Offset from the most stable computed form ... 0.4851 eV/atom
Calculated total energy ... -3.7606 eV per atom
Space-group type ... F-43m, No. 216
Magnetic moment ... 0.0 μB per cell

***

A plane-wave DFT calculation with PBE was carried out for a geometry-optimized GaNi2Mo structure.

```
data_GaNi2Mo
_chemical_formula_sum 'Ga1 Ni2 Mo1'
_space_group_name_H-M_alt 'P 1'
_space_group_IT_number 1
_cell_length_a 4.1778
_cell_length_b 4.1778
_cell_length_c 4.1778
_cell_angle_alpha 60.00
_cell_angle_beta 60.00
_cell_angle_gamma 60.00
loop_
_space_group_symop_operation_xyz
'x,y,z'
loop_
_atom_site_label
_atom_site_type_symbol
_atom_site_fract_x
_atom_site_fract_y
_atom_site_fract_z
Ga1 Ga 0.5000 0.5000 0.5000
Mo1 Mo 0.2500 0.2500 0.2500
Ni1 Ni 0.0000 0.0000 0.0000
Ni2 Ni 0.7500 0.7500 0.7500
```

Results
Calculated total energy ... -6.2988 eV per atom
Space-group type ... F-43m, No. 216
Magnetic moment ... 0.0 μB per cell

***

A plane-wave DFT calculation with PBE was carried out for a geometry-optimized YTm2Mg3Tl2Cd structure.

```
data_YTm2Mg3Tl2Cd
_chemical_formula_sum 'Y1 Tm2 Mg3 Tl2 Cd1'
_space_group_name_H-M_alt 'P 1'
_space_group_IT_number 1
_cell_length_a 4.5939
_cell_length_b 7.5305
_cell_length_c 7.5305
_cell_angle_alpha 120.30
_cell_angle_beta 90.00
_cell_angle_gamma 90.00
loop_
_space_group_symop_operation_xyz
'x,y,z'
loop_
_atom_site_label
_atom_site_type_symbol
_atom_site_fract_x
_atom_site_fract_y
_atom_site_fract_z
Cd1 Cd 0.0000 0.9965 0.9965
Mg1 Mg 0.5000 0.2396 0.0000
Mg2 Mg 0.5000 0.0000 0.2396
Mg3 Mg 0.5000 0.7595 0.7595
Tl1 Tl 0.5000 0.6690 0.3330
Tl2 Tl 0.5000 0.3330 0.6690
Tm1 Tm 0.0000 0.5730 0.0007
Tm2 Tm 0.0000 0.0007 0.5730
Y1 Y 0.0000 0.4288 0.4288
```

Results
Calculated total energy ... -3.1627 eV per atom
Space-group type ... Amm2, No. 38
Magnetic moment ... 0.0 μB per cell

***

A plane-wave DFT calculation with PBE was carried out for a geometry-optimized SmDyGe2 structure.

```
data_SmDyGe2
_chemical_formula_sum 'Sm2 Dy2 Ge4'
_space_group_name_H-M_alt 'P 1'
_space_group_IT_number 1
_cell_length_a 9.6109
_cell_length_b 9.6109
_cell_length_c 5.4814
_cell_angle_alpha 90.00
_cell_angle_beta 90.00
_cell_angle_gamma 155.10
loop_
_space_group_symop_operation_xyz
'x,y,z'
loop_
_atom_site_label
_atom_site_type_symbol
_atom_site_fract_x
_atom_site_fract_y
_atom_site_fract_z
Dy1 Dy 0.7018 0.2982 0.2500
Dy2 Dy 0.2982 0.7018 0.7500
Ge1 Ge 0.5434 0.4566 0.2500
Ge2 Ge 0.3105 0.6895 0.2500
Ge3 Ge 0.6895 0.3105 0.7500
Ge4 Ge 0.4566 0.5434 0.7500
Sm1 Sm 0.9207 0.0793 0.2500
Sm2 Sm 0.0793 0.9207 0.7500
```

Results
Calculated total energy ... -5.2263 eV per atom
Space-group type ... Cmcm, No. 63
Magnetic moment ... 0.0 μB per cell

***

A plane-wave DFT calculation with PBE was carried out for a geometry-optimized TbYAlTe3 structure.

```
data_TbYAlTe3
_chemical_formula_sum 'Tb2 Y2 Al2 Te6'
_space_group_name_H-M_alt 'P 1'
_space_group_IT_number 1
_cell_length_a 7.9603
_cell_length_b 7.9603
_cell_length_c 10.4672
_cell_angle_alpha 90.00
_cell_angle_beta 90.00
_cell_angle_gamma 150.17
loop_
_space_group_symop_operation_xyz
'x,y,z'
loop_
_atom_site_label
_atom_site_type_symbol
_atom_site_fract_x
_atom_site_fract_y
_atom_site_fract_z
Al1 Al 0.5226 0.4774 0.2500
Al2 Al 0.4774 0.5226 0.7500
Tb1 Tb 0.0000 0.0000 0.0000
Tb2 Tb 0.0000 0.0000 0.5000
Te1 Te 0.6522 0.3478 0.0481
Te2 Te 0.8774 0.1226 0.2500
Te3 Te 0.6522 0.3478 0.4519
Te4 Te 0.3478 0.6522 0.5481
Te5 Te 0.1226 0.8774 0.7500
Te6 Te 0.3478 0.6522 0.9519
Y1 Y 0.2187 0.7813 0.2500
Y2 Y 0.7813 0.2187 0.7500
```

Results
Calculated total energy ... -4.9719 eV per atom
Space-group type ... Cmcm, No. 63
Magnetic moment ... 0.0 μB per cell